No. 1
This record from the Alexandria database describes an optimized crystal structure of La3Dy2Tm6Sc. The functional is GGA-PBE.

Values from the calculation:
Formation energy from the elements (meV/atom): 37
Total moment (μB per formula unit): 0.00

Unit cell a=6.142 b=10.638 c=11.692 alpha=90.00 beta=100.08 gamma=90.00
Space group C2/m (No. 12)
Unique sites:
La: 0.000 0.000 0.000
La: 0.000 0.333 0.000
Dy: 0.000 0.166 0.500
Tm: 0.245 0.335 0.742
Tm: 0.249 0.000 0.742
Sc: 0.000 0.500 0.500


No. 2
This record from the Alexandria database describes an optimized crystal structure of LaDy2Tm4Sc. The functional is GGA-PBE.

Values from the calculation:
Formation energy from the elements (meV/atom): 435
Total moment (μB per formula unit): 1.52

Unit cell a=6.693 b=11.570 c=13.044 alpha=90.00 beta=90.00 gamma=90.00
Space group Imma (No. 74)
Unique sites:
La: 0.000 0.000 0.000
Dy: 0.000 0.000 0.500
Dy: 0.250 0.250 0.250
Tm: 0.000 0.012 0.750
Tm: 0.248 0.250 0.510
Sc: 0.250 0.250 0.750


No. 3
This record from the Alexandria database describes an optimized crystal structure of La2DyTm4Sc. The functional is GGA-PBE.

Values from the calculation:
Formation energy from the elements (meV/atom): 416
Total moment (μB per formula unit): 0.90

Unit cell a=6.726 b=11.736 c=13.066 alpha=90.00 beta=90.00 gamma=90.00
Space group Imma (No. 74)
Unique sites:
La: 0.000 0.000 0.000
La: 0.250 0.250 0.250
Dy: 0.000 0.000 0.500
Tm: 0.000 0.019 0.749
Tm: 0.248 0.250 0.514
Sc: 0.250 0.250 0.750